No. 1
VASP calculation (PBE-GGA) on an optimized crystal structure of Sc2Mn3Si.

Cell and atoms, written as POSCAR:
```
Sc2Mn3Si
1.0
2.443 1.410 4.091
-2.443 1.410 4.091
0.000 -2.821 4.091
Sc Mn Si
2 3 1
direct
0.122 0.122 0.122
0.878 0.878 0.878
0.000 0.500 0.500
0.500 0.000 0.500
0.500 0.500 0.000
0.500 0.500 0.500
```

Properties
The calculation puts the energy relative to the elements, uncorrected at -36 kJ per mole of atoms. Its space-group type is No. 166. The calculation puts the theoretical density at 5.55 g/cm3. The calculation puts the density of states at the Fermi level at 0.8259 states/eV/atom.

No. 2
VASP calculation (PBE-GGA) on an optimized crystal structure of SrIn2Ge.

Cell and atoms, written as POSCAR:
```
SrIn2Ge
1.0
5.105 0.000 0.000
0.000 4.641 0.000
-2.115 0.000 9.846
Sr In Ge
2 4 2
direct
0.064 0.250 0.213
0.936 0.750 0.787
0.255 0.750 0.488
0.434 0.750 0.071
0.566 0.250 0.929
0.745 0.250 0.512
0.317 0.250 0.659
0.683 0.750 0.341
```

Properties
Its space-group type is No. 11. Its formation energy is -0.28 eV per atom. The calculation puts the theoretical density at 5.55 g/cm3. The calculation puts the density of states at the Fermi level at 0.3933 states/eV/atom.

No. 3
VASP calculation (PBE-GGA) on an optimized crystal structure of Tc3Ru.

Cell and atoms, written as POSCAR:
```
Tc3Ru
1.0
4.891 0.000 0.000
0.000 4.891 0.000
0.000 0.000 4.891
Tc Ru
6 2
direct
0.000 0.250 0.500
0.000 0.750 0.500
0.250 0.500 0.000
0.500 0.000 0.250
0.500 0.000 0.750
0.750 0.500 0.000
0.000 0.000 0.000
0.500 0.500 0.500
```

Properties
Its space-group type is No. 223. Its formation energy is 0.14 eV per atom. The calculation puts the theoretical density at 11.22 g/cm3. The calculation puts the density of states at the Fermi level at 0.6845 states/eV/atom.